# PBE PuNpP2O8, relaxed
# energy relative to the elements, uncorrected: -30.530 eV/f.u.
# raw total energy: -9.024 eV per atom
data_PuNpP2O8
_symmetry_space_group_name_H-M 'P -3'
_symmetry_Int_Tables_number 147
_cell_length_a 5.3502
_cell_length_b 5.3502
_cell_length_c 7.2663
_cell_angle_alpha 90.00
_cell_angle_beta 90.00
_cell_angle_gamma 120.00
loop_
_symmetry_equiv_pos_as_xyz
'x,y,z'
'-x,-y,-z'
'-y,x-y,z'
'y,-x+y,-z'
'-x+y,-x,z'
'x-y,x,-z'
loop_
_atom_site_label
_atom_site_type_symbol
_atom_site_fract_x
_atom_site_fract_y
_atom_site_fract_z
_atom_site_occupancy
Pu1 Pu 0.0000 0.0000 0.0000 1
Np1 Np 0.0000 0.0000 0.5000 1
P1 P 0.3333 0.6667 0.8007 1
O1 O 0.1736 0.3513 0.7250 1
O2 O 0.3333 0.6667 0.0099 1

# PBE PuNpPO2, relaxed
# energy relative to the elements, uncorrected: -10.771 eV/f.u.
# raw total energy: -10.674 eV per atom
data_PuNpPO2
_symmetry_space_group_name_H-M 'I 4 m m'
_symmetry_Int_Tables_number 107
_symmetry_space_group_name_Hall 'I 4 -2'
_cell_length_a 3.719
_cell_length_b 3.719
_cell_length_c 11.924
_cell_angle_alpha 90.00
_cell_angle_beta 90.00
_cell_angle_gamma 90.00
loop_
_atom_site_label
_atom_site_type_symbol
_atom_site_fract_x
_atom_site_fract_y
_atom_site_fract_z
_atom_site_occupancy
Pu1 Pu 0.000 0.000 0.000 1
Np1 Np 0.000 0.000 0.276 1
P1 P 0.000 0.000 0.639 1
O1 O 0.000 0.500 0.384 1

# PBE RbNpPO5, relaxed
# energy relative to the elements, uncorrected: -20.286 eV/f.u.
# raw total energy: -8.049 eV per atom
data_RbNpPO5
_symmetry_space_group_name_H-M 'C 1 2/c 1'
_symmetry_Int_Tables_number 15
_cell_length_a 7.365
_cell_length_b 9.829
_cell_length_c 7.968
_cell_angle_alpha 90.00
_cell_angle_beta 114.77
_cell_angle_gamma 90.00
loop_
_symmetry_equiv_pos_as_xyz
'x,y,z'
'-x,-y,-z'
'-x,y,-z+1/2'
'x,-y,z+1/2'
'x+1/2,y+1/2,z'
'-x+1/2,-y+1/2,-z'
'-x+1/2,y+1/2,-z+1/2'
'x+1/2,-y+1/2,z+1/2'
loop_
_atom_site_label
_atom_site_type_symbol
_atom_site_fract_x
_atom_site_fract_y
_atom_site_fract_z
_atom_site_occupancy
Rb1 Rb 0.000 0.163 0.250 1
Np1 Np 0.000 0.500 0.000 1
P1 P 0.000 0.188 0.750 1
O1 O 0.000 0.439 0.250 1
O2 O 0.074 0.281 0.631 1
O3 O 0.174 0.095 0.878 1

# PBE NpPRhO, relaxed
# energy relative to the elements, uncorrected: -6.858 eV/f.u.
# raw total energy: -9.380 eV per atom
data_NpPRhO
_symmetry_space_group_name_H-M 'P 4/n m m'
_symmetry_Int_Tables_number 129
_cell_length_a 3.888
_cell_length_b 3.888
_cell_length_c 8.130
_cell_angle_alpha 90.00
_cell_angle_beta 90.00
_cell_angle_gamma 90.00
loop_
_symmetry_equiv_pos_as_xyz
'x,y,z'
'-x,-y,-z'
'-y+1/2,x,z'
'y+1/2,-x,-z'
'-x+1/2,-y+1/2,z'
'x+1/2,y+1/2,-z'
'y,-x+1/2,z'
'-y,x+1/2,-z'
'x+1/2,-y,-z'
'-x+1/2,y,z'
'-y,-x,-z'
'y,x,z'
'-x,y+1/2,-z'
'x,-y+1/2,z'
'y+1/2,x+1/2,-z'
'-y+1/2,-x+1/2,z'
loop_
_atom_site_label
_atom_site_type_symbol
_atom_site_fract_x
_atom_site_fract_y
_atom_site_fract_z
_atom_site_occupancy
Np1 Np 0.250 0.250 0.152 1
P1 P 0.250 0.250 0.667 1
Rh1 Rh 0.250 0.750 0.500 1
O1 O 0.250 0.750 0.000 1

no.,M_tot (Bohr magnetons per cell)
1,9.00
2,3.46
3,12.00
4,7.18